(1)
Computed, not measured: an optimized crystal structure of SmTc2N4 at the PBE level of DFT.

Cell lengths 3.2450, 5.1737, 10.0156 Å; angles 90.00, 90.00, 108.28 degrees
Atoms (fractional coordinates):
Tc: 0.1143 0.2286 0.0635
Tc: 0.8857 0.7714 0.9365
Tc: 0.1143 0.2286 0.4365
Tc: 0.8857 0.7714 0.5635
N: 0.2407 0.4814 0.6036
N: 0.7593 0.5186 0.1036
N: 0.5000 0.0000 0.0000
N: 0.0687 0.1374 0.2500
N: 0.9313 0.8626 0.7500
N: 0.5000 0.0000 0.5000
N: 0.7593 0.5186 0.3964
N: 0.2407 0.4814 0.8964
Sm: 0.3734 0.7468 0.2500
Sm: 0.6266 0.2532 0.7500

The value obtained for the calculated volume is 11.4 Å³ per atom. The value obtained for the uncorrected formation energy is -0.39 eV per atom. The value obtained for the magnetic moment is 0.00 μB/f.u. The calculation puts the density of states at the Fermi level at 6.2 states/eV/cell.

---

(2)
Computed, not measured: an optimized crystal structure of SmLuMgIr at the PBE level of DFT.

Cell lengths 5.0289, 5.0289, 5.0289 Å; angles 60.00, 60.00, 60.00 degrees
Atoms (fractional coordinates):
Sm: 0.7500 0.7500 0.7500
Lu: 0.2500 0.2500 0.2500
Ir: 0.0000 0.0000 0.0000
Mg: 0.5000 0.5000 0.5000

The value obtained for the calculated volume is 22.5 Å³ per atom. The calculation puts the formation energy at -0.43 eV per atom. The value obtained for the magnetic moment is 0.00 μB/f.u. The calculation puts the density of states at the Fermi level at 2.3 states/eV/cell.

---

(3)
Computed, not measured: an optimized crystal structure of Tm3TePd12 at the PBE level of DFT.

Cell lengths 4.0868, 4.0868, 16.3998 Å; angles 90.00, 90.00, 90.00 degrees
Atoms (fractional coordinates):
Pd: 0.0000 0.5000 0.8768
Pd: 0.5000 0.5000 0.0000
Pd: 0.5000 0.5000 0.7530
Pd: 0.0000 0.5000 0.3746
Pd: 0.5000 0.0000 0.3746
Pd: 0.5000 0.5000 0.5000
Pd: 0.5000 0.5000 0.2470
Pd: 0.5000 0.0000 0.1232
Pd: 0.5000 0.0000 0.6254
Pd: 0.0000 0.5000 0.1232
Pd: 0.5000 0.0000 0.8768
Pd: 0.0000 0.5000 0.6254
Tm: 0.0000 0.0000 0.2526
Tm: 0.0000 0.0000 0.7474
Tm: 0.0000 0.0000 0.5000
Te: 0.0000 0.0000 0.0000

The value obtained for the calculated volume is 17.1 Å³ per atom. The value obtained for the uncorrected formation energy is -0.73 eV per atom. The value obtained for the magnetic moment is 0.00 μB/f.u. The calculation puts the density of states at the Fermi level at 9.4 states/eV/cell.